[1]
## Mn2CrRh9 (PBE)

Data for Mn2CrRh9 after structural relaxation.

```
data_Mn2CrRh9
_chemical_formula_sum 'Mn2 Cr1 Rh9'
_space_group_name_H-M_alt 'P 4/m m m'
_space_group_IT_number 123
_space_group_name_Hall '-P 4 2'
_cell_length_a 3.8001
_cell_length_b 3.8001
_cell_length_c 11.4340
_cell_angle_alpha 90.00
_cell_angle_beta 90.00
_cell_angle_gamma 90.00
loop_
_atom_site_label
_atom_site_fract_x
_atom_site_fract_y
_atom_site_fract_z
_atom_site_occupancy
Mn1 0.0000 0.0000 0.1652 1
Cr1 0.0000 0.0000 0.5000 1
Rh1 0.0000 0.5000 0.0000 1
Rh2 0.0000 0.5000 0.3362 1
Rh3 0.5000 0.5000 0.1681 1
Rh4 0.5000 0.5000 0.5000 1
```

Calculated values
magnetic moment = 6.126 Bohr magnetons per cell
calculated volume = 13.760 A^3/atom
ΔH_f (0 K) = -1.6 eV per formula unit

---

[2]
## MnCrRh2 (PBE)

Data for MnCrRh2 after structural relaxation.

```
data_MnCrRh2
_chemical_formula_sum 'Mn3 Cr3 Rh6'
_space_group_name_H-M_alt 'R 3 m'
_space_group_IT_number 160
_space_group_name_Hall 'R 3 -2"'
_cell_length_a 4.3103
_cell_length_b 4.3103
_cell_length_c 10.5295
_cell_angle_alpha 90.00
_cell_angle_beta 90.00
_cell_angle_gamma 120.00
loop_
_atom_site_label
_atom_site_fract_x
_atom_site_fract_y
_atom_site_fract_z
_atom_site_occupancy
Mn1 0.0000 0.0000 0.0000 1
Cr1 0.0000 0.0000 0.2486 1
Rh1 0.0000 0.0000 0.4996 1
Rh2 0.0000 0.0000 0.7504 1
```

Calculated values
magnetic moment = 3.694 Bohr magnetons per cell
calculated volume = 14.118 A^3/atom
ΔH_f (0 K) = 0.5 eV per formula unit

---

[3]
## MnCrRh2 (PBE)

Data for MnCrRh2 after structural relaxation.

```
data_MnCrRh2
_chemical_formula_sum 'Mn2 Cr2 Rh4'
_space_group_name_H-M_alt 'A m m 2'
_space_group_IT_number 38
_cell_length_a 4.0188
_cell_length_b 2.7062
_cell_length_c 9.7113
_cell_angle_alpha 90.00
_cell_angle_beta 90.00
_cell_angle_gamma 90.00
loop_
_space_group_symop_operation_xyz
'x,y,z'
'-x,-y,z'
'-x,y,z'
'x,-y,z'
'x,y+1/2,z+1/2'
'-x,-y+1/2,z+1/2'
'-x,y+1/2,z+1/2'
'x,-y+1/2,z+1/2'
loop_
_atom_site_label
_atom_site_fract_x
_atom_site_fract_y
_atom_site_fract_z
_atom_site_occupancy
Mn1 0.0000 0.0000 0.0000 1
Cr1 0.5000 0.0000 0.8703 1
Rh1 0.0000 0.0000 0.2669 1
Rh2 0.5000 0.0000 0.6041 1
```

Calculated values
magnetic moment = 2.002 Bohr magnetons per cell
calculated volume = 13.202 A^3/atom
ΔH_f (0 K) = -0.2 eV per formula unit

---

[4]
## MnCrRh3 (PBE)

Data for MnCrRh3 after structural relaxation.

```
data_MnCrRh3
_chemical_formula_sum 'Mn2 Cr2 Rh6'
_space_group_name_H-M_alt 'P -1'
_space_group_IT_number 2
_cell_length_a 4.6866
_cell_length_b 5.3447
_cell_length_c 6.0357
_cell_angle_alpha 76.46
_cell_angle_beta 74.87
_cell_angle_gamma 72.45
loop_
_space_group_symop_operation_xyz
'x,y,z'
'-x,-y,-z'
loop_
_atom_site_label
_atom_site_fract_x
_atom_site_fract_y
_atom_site_fract_z
_atom_site_occupancy
Mn1 0.1061 0.1559 0.2955 1
Cr1 0.3057 0.9446 0.8873 1
Rh1 0.0956 0.6703 0.2899 1
Rh2 0.3030 0.4360 0.9049 1
Rh3 0.4910 0.7547 0.4956 1
```

Calculated values
magnetic moment = 1.933 Bohr magnetons per cell
ΔE to the lowest computed polymorph = 0 meV/atom
calculated volume = 13.715 A^3/atom
ΔH_f (0 K) = -0.4 eV per formula unit

---

[5]
## MnCrRh (PBE)

Data for MnCrRh after structural relaxation.

```
data_MnCrRh
_chemical_formula_sum 'Mn1 Cr1 Rh1'
_space_group_name_H-M_alt 'P 3 m 1'
_space_group_IT_number 156
_cell_length_a 2.6231
_cell_length_b 2.6231
_cell_length_c 6.3748
_cell_angle_alpha 90.00
_cell_angle_beta 90.00
_cell_angle_gamma 120.00
loop_
_space_group_symop_operation_xyz
'x,y,z'
'-y,x-y,z'
'-x+y,-x,z'
'-y,-x,z'
'-x+y,y,z'
'x,x-y,z'
loop_
_atom_site_label
_atom_site_fract_x
_atom_site_fract_y
_atom_site_fract_z
_atom_site_occupancy
Mn1 0.0000 0.0000 0.0000 1
Cr1 0.3333 0.6667 0.6801 1
Rh1 0.6667 0.3333 0.3447 1
```

Calculated values
magnetic moment = 1.407 Bohr magnetons per cell
ΔE to the lowest computed polymorph = 82 meV/atom
calculated volume = 12.662 A^3/atom
ΔH_f (0 K) = 0.3 eV per formula unit

---

[6]
## MnCrRh2 (PBE)

Data for MnCrRh2 after structural relaxation.

```
data_MnCrRh2
_chemical_formula_sum 'Mn2 Cr2 Rh4'
_space_group_name_H-M_alt 'C 1 2/m 1'
_space_group_IT_number 12
_cell_length_a 8.7437
_cell_length_b 2.7521
_cell_length_c 4.6406
_cell_angle_alpha 90.00
_cell_angle_beta 101.16
_cell_angle_gamma 90.00
loop_
_space_group_symop_operation_xyz
'x,y,z'
'-x,-y,-z'
'-x,y,-z'
'x,-y,z'
'x+1/2,y+1/2,z'
'-x+1/2,-y+1/2,-z'
'-x+1/2,y+1/2,-z'
'x+1/2,-y+1/2,z'
loop_
_atom_site_label
_atom_site_fract_x
_atom_site_fract_y
_atom_site_fract_z
_atom_site_occupancy
Mn1 0.0000 0.0000 0.0000 1
Cr1 0.0000 0.5000 0.5000 1
Rh1 0.2470 0.0000 0.7463 1
```

Calculated values
magnetic moment = 1.983 Bohr magnetons per cell
calculated volume = 13.695 A^3/atom
ΔH_f (0 K) = -0.2 eV per formula unit

---

[7]
## MnCr3Rh12 (PBE)

Data for MnCr3Rh12 after structural relaxation.

```
data_MnCr3Rh12
_chemical_formula_sum 'Mn1 Cr3 Rh12'
_space_group_name_H-M_alt 'P 4/m m m'
_space_group_IT_number 123
_space_group_name_Hall '-P 4 2'
_cell_length_a 3.7996
_cell_length_b 3.7996
_cell_length_c 15.2103
_cell_angle_alpha 90.00
_cell_angle_beta 90.00
_cell_angle_gamma 90.00
loop_
_atom_site_label
_atom_site_fract_x
_atom_site_fract_y
_atom_site_fract_z
_atom_site_occupancy
Mn1 0.0000 0.0000 0.0000 1
Cr1 0.0000 0.0000 0.2477 1
Cr2 0.0000 0.0000 0.5000 1
Rh1 0.0000 0.5000 0.1277 1
Rh2 0.0000 0.5000 0.3757 1
Rh3 0.5000 0.5000 0.0000 1
Rh4 0.5000 0.5000 0.2515 1
Rh5 0.5000 0.5000 0.5000 1
```

Calculated values
magnetic moment = 5.974 Bohr magnetons per cell
calculated volume = 13.725 A^3/atom
ΔH_f (0 K) = -2.1 eV per formula unit

---

[8]
## MnCr3Rh (PBE)

Data for MnCr3Rh after structural relaxation.

```
data_MnCr3Rh
_chemical_formula_sum 'Mn1 Cr3 Rh1'
_space_group_name_H-M_alt 'P m -3 m'
_space_group_IT_number 221
_space_group_name_Hall '-P 4 2 3'
_cell_length_a 4.1354
_cell_length_b 4.1354
_cell_length_c 4.1354
_cell_angle_alpha 90.00
_cell_angle_beta 90.00
_cell_angle_gamma 90.00
loop_
_atom_site_label
_atom_site_fract_x
_atom_site_fract_y
_atom_site_fract_z
_atom_site_occupancy
Mn1 0.0000 0.0000 0.0000 1
Cr1 0.0000 0.0000 0.5000 1
Rh1 0.5000 0.5000 0.5000 1
```

Calculated values
magnetic moment = 0.000 Bohr magnetons per cell
calculated volume = 14.144 A^3/atom
ΔH_f (0 K) = 5.2 eV per formula unit